An optimized crystal structure of Sc2Mn2NbC4. Source: Alexandria via LeMat-Bulk, functional PBE.

Structure (CIF):
```
data_Sc2Mn2NbC4
_cell_length_a 3.194
_cell_length_b 6.175
_cell_length_c 5.573
_cell_angle_alpha 108.34
_cell_angle_beta 90.00
_cell_angle_gamma 104.99
_space_group_name_H-M_alt 'P 1'
_space_group_IT_number 1
loop_
_space_group_symop_operation_xyz
'x,y,z'
loop_
_atom_site_label
_atom_site_fract_x
_atom_site_fract_y
_atom_site_fract_z
Nb1 0.000 0.000 0.000
Mn1 0.323 0.646 0.011
Mn2 0.677 0.354 0.989
C1 0.474 0.948 0.270
C2 0.214 0.428 0.212
C3 0.786 0.572 0.788
C4 0.526 0.052 0.730
Sc1 0.866 0.732 0.457
Sc2 0.134 0.268 0.543
```

Computed properties:
calculated formation energy	-1.9	eV per formula unit
V	11.15	A^3/atom